VASP calculation (GGA-PBE) on a relaxed structure of Tb3Sn2Pb.

Raw total energy ... -4.890 eV per atom
Volume ... 28.7 Å³ per atom
Magnetization ... 0.00 μB per formula unit

a = 4.440 Å, b = 4.555 Å, c = 17.046 Å
α = 90.00°, β = 90.00°, γ = 90.00°
Space group Immm (No. 71)
One atom of each set of equivalent atoms:
1 Tb 0.000 0.000 0.000 (multiplicity 2)
2 Tb 0.000 0.500 0.175 (multiplicity 4)
3 Sn 0.000 0.500 0.356 (multiplicity 4)
4 Pb 0.000 0.000 0.500 (multiplicity 2)